Entry 1:
Material: Ba2CdPt
Method: DFT, PBE
State: optimized geometry

## Properties
* symmetry: No. 216
* energy of formation: -0.23 eV per atom
* volume: 29.1 Å³/atom
* size of the total moment: 0.0 μB/cell
* mass density: 8.3 Mg/m³

Cell lengths 5.481, 5.481, 5.481 Å; angles 60.00, 60.00, 60.00 degrees
Atoms (fractional coordinates):
Pt 0.750 0.750 0.750
Cd 0.500 0.500 0.500
Ba 0.000 0.000 0.000
Ba 0.250 0.250 0.250


Entry 2:
Material: LiSm2O3
Method: DFT, PBE
State: optimized geometry

## Properties
* symmetry: No. 71
* ΔE_f (raw): -272.05 kJ/mol of atoms
* volume: 13.1 Å³/atom
* size of the total moment: 0.0 μB/cell
* mass density: 7.5 Mg/m³

Cell lengths 3.344, 3.672, 6.847 Å; angles 105.55, 104.13, 90.00 degrees
Atoms (fractional coordinates):
O 0.828 0.828 0.655
O 0.172 0.172 0.345
O 0.000 0.500 0.000
Li 0.000 0.000 0.000
Sm 0.640 0.640 0.280
Sm 0.360 0.360 0.720


Entry 3:
Material: SmIn6Hg8
Method: DFT, PBE
State: optimized geometry

## Properties
* symmetry: No. 148
* energy of formation: -0.04 eV per atom
* volume: 27.1 Å³/atom
* size of the total moment: 0.0 μB/cell
* mass density: 10.0 Mg/m³

Cell lengths 7.496, 7.496, 7.496 Å; angles 80.99, 80.99, 80.99 degrees
Atoms (fractional coordinates):
Hg 0.218 0.218 0.218
Hg 0.601 0.162 0.911
Hg 0.089 0.399 0.838
Hg 0.162 0.911 0.601
Hg 0.838 0.089 0.399
Hg 0.782 0.782 0.782
Hg 0.399 0.838 0.089
Hg 0.911 0.601 0.162
In 0.595 0.802 0.416
In 0.802 0.416 0.595
In 0.405 0.198 0.584
In 0.416 0.595 0.802
In 0.584 0.405 0.198
In 0.198 0.584 0.405
Sm 0.000 0.000 0.000


Entry 4:
Material: KSrPdI2
Method: DFT, PBE
State: optimized geometry

## Properties
* symmetry: No. 123
* ΔE_f (raw): -41.47 kJ/mol of atoms
* volume: 37.3 Å³/atom
* size of the total moment: 0.0 μB/cell
* mass density: 4.3 Mg/m³

Cell lengths 5.820, 5.512, 5.820 Å; angles 90.00, 90.00, 90.00 degrees
Atoms (fractional coordinates):
Sr 0.500 0.500 0.500
Pd 0.000 0.000 0.000
I 0.000 0.000 0.500
I 0.500 0.000 0.000
K 0.000 0.500 0.000


Entry 5:
Material: NaScH3
Method: DFT, PBE
State: optimized geometry

## Properties
* symmetry: No. 221
* volume: 10.5 Å³/atom
* size of the total moment: 0.0 μB/cell
* DFT total energy: -3.368 eV/atom
* mass density: 2.3 Mg/m³

Cell lengths 3.741, 3.741, 3.741 Å; angles 90.00, 90.00, 90.00 degrees
Atoms (fractional coordinates):
H 0.500 0.000 0.000
H 0.000 0.500 0.000
H 0.000 0.000 0.500
Sc 0.500 0.500 0.500
Na 0.000 0.000 0.000


Entry 6:
Material: SrY2IrO8
Method: DFT, PBE
State: optimized geometry

## Properties
* symmetry: No. 10
* ΔE_f (raw): -198.28 kJ/mol of atoms
* volume: 15.1 Å³/atom
* size of the total moment: 0.9 μB/cell
* mass density: 5.4 Mg/m³

Cell lengths 5.078, 5.073, 7.056 Å; angles 90.00, 90.00, 89.62 degrees
Atoms (fractional coordinates):
O 0.186 0.813 0.809
O 0.186 0.813 0.191
O 0.269 0.268 0.000
O 0.676 0.678 0.500
O 0.814 0.187 0.809
O 0.324 0.322 0.500
O 0.814 0.187 0.191
O 0.731 0.732 0.000
Y 0.500 0.500 0.251
Y 0.500 0.500 0.749
Ir 0.000 0.000 0.000
Sr 0.000 0.000 0.500


Entry 7:
Material: LaNd4Al
Method: DFT, PBE
State: optimized geometry

## Properties
* symmetry: No. 123
* energy of formation: -0.09 eV per atom
* volume: 32.6 Å³/atom
* size of the total moment: 0.0 μB/cell
* mass density: 6.3 Mg/m³

Cell lengths 3.681, 3.681, 14.429 Å; angles 90.00, 90.00, 90.00 degrees
Atoms (fractional coordinates):
La 0.000 0.000 0.000
Al 0.500 0.500 0.500
Nd 0.000 0.000 0.633
Nd 0.500 0.500 0.816
Nd 0.500 0.500 0.184
Nd 0.000 0.000 0.367


Entry 8:
Material: Ac3MgGa3
Method: DFT, PBE
State: optimized geometry

## Properties
* symmetry: No. 12
* energy of formation: -0.46 eV per atom
* volume: 29.6 Å³/atom
* size of the total moment: 0.0 μB/cell
* mass density: 7.3 Mg/m³

Cell lengths 4.775, 6.487, 14.580 Å; angles 84.48, 80.58, 68.41 degrees
Atoms (fractional coordinates):
Ga 0.950 0.870 0.230
Ga 0.102 0.868 0.928
Ga 0.120 0.303 0.456
Ga 0.880 0.697 0.544
Ga 0.050 0.130 0.770
Ga 0.898 0.132 0.072
Ac 0.397 0.286 0.921
Ac 0.603 0.714 0.079
Ac 0.745 0.731 0.780
Ac 0.255 0.269 0.220
Ac 0.481 0.664 0.374
Ac 0.519 0.336 0.626
Mg 0.243 0.924 0.589
Mg 0.757 0.076 0.411


Entry 9:
Material: Pm2VB10
Method: DFT, PBE
State: optimized geometry

## Properties
* symmetry: No. 55
* energy of formation: -0.41 eV per atom
* volume: 10.7 Å³/atom
* size of the total moment: 4.9 μB/cell
* mass density: 5.4 Mg/m³

Cell lengths 4.190, 5.766, 11.487 Å; angles 90.00, 90.00, 90.00 degrees
Atoms (fractional coordinates):
B 0.000 0.620 0.958
B 0.000 0.058 0.192
B 0.701 0.278 0.618
B 0.000 0.442 0.692
B 0.000 0.365 0.198
B 0.000 0.120 0.542
B 0.000 0.880 0.458
B 0.000 0.380 0.042
B 0.000 0.635 0.802
B 0.000 0.942 0.808
B 0.299 0.222 0.118
B 0.299 0.722 0.382
B 0.701 0.778 0.882
B 0.000 0.865 0.302
B 0.701 0.222 0.118
B 0.299 0.778 0.882
B 0.701 0.722 0.382
B 0.000 0.558 0.308
B 0.299 0.278 0.618
B 0.000 0.135 0.698
Pm 0.500 0.797 0.638
Pm 0.500 0.703 0.138
Pm 0.500 0.203 0.362
Pm 0.500 0.297 0.862
V 0.000 0.500 0.500
V 0.000 0.000 0.000


Entry 10:
Material: ZnRhAu2
Method: DFT, PBE
State: optimized geometry

## Properties
* symmetry: No. 99
* energy of formation: -0.11 eV per atom
* volume: 16.1 Å³/atom
* size of the total moment: 0.0 μB/cell
* mass density: 14.5 Mg/m³

Cell lengths 3.129, 3.129, 6.561 Å; angles 90.00, 90.00, 90.00 degrees
Atoms (fractional coordinates):
Au 0.000 0.000 0.978
Au 0.500 0.500 0.262
Zn 0.500 0.500 0.732
Rh 0.000 0.000 0.528


Entry 11:
Material: AlCdCl2
Method: DFT, PBE
State: optimized geometry

## Properties
* symmetry: No. 119
* ΔE_f (raw): -28.52 kJ/mol of atoms
* volume: 26.2 Å³/atom
* size of the total moment: 0.0 μB/cell
* mass density: 3.3 Mg/m³

Cell lengths 6.994, 6.994, 6.994 Å; angles 146.29, 146.29, 48.41 degrees
Atoms (fractional coordinates):
Al 0.500 0.500 0.000
Cd 0.750 0.250 0.500
Cl 0.000 0.000 0.000
Cl 0.250 0.750 0.500


Entry 12:
Material: Pm6GaAg6
Method: DFT, PBE
State: optimized geometry

## Properties
* symmetry: No. 191
* energy of formation: -0.15 eV per atom
* volume: 25.6 Å³/atom
* size of the total moment: 0.0 μB/cell
* mass density: 7.9 Mg/m³

Cell lengths 5.912, 5.912, 10.997 Å; angles 90.00, 90.00, 120.00 degrees
Atoms (fractional coordinates):
Pm 0.667 0.333 0.500
Pm 0.000 0.000 0.670
Pm 0.000 0.000 0.330
Pm 0.333 0.667 0.500
Pm 0.333 0.667 0.000
Pm 0.667 0.333 0.000
Ga 0.000 0.000 0.000
Ag 0.500 0.000 0.759
Ag 0.500 0.500 0.759
Ag 0.500 0.500 0.241
Ag 0.000 0.500 0.241
Ag 0.500 0.000 0.241
Ag 0.000 0.500 0.759